First-principles (PBE) data for crystalline K2VAgBr6 at its relaxed geometry, as listed in Alexandria.

Geometry as POSCAR:
```
K2VAgBr6
1.0
7.429 0.000 0.000
0.000 7.670 0.000
-7.369 0.000 10.576
K V Ag Br
4 2 2 12
Direct
0.228 0.070 0.250 K
0.228 0.430 0.750 K
0.772 0.570 0.250 K
0.772 0.930 0.750 K
0.500 0.000 0.000 V
0.500 0.500 0.500 V
0.000 0.000 0.500 Ag
0.000 0.500 0.000 Ag
0.176 0.187 0.959 Br
0.176 0.313 0.459 Br
0.279 0.719 0.962 Br
0.279 0.781 0.462 Br
0.346 0.008 0.764 Br
0.346 0.492 0.264 Br
0.654 0.508 0.736 Br
0.654 0.992 0.236 Br
0.721 0.219 0.538 Br
0.721 0.281 0.038 Br
0.824 0.687 0.541 Br
0.824 0.813 0.041 Br
```

**Electronic total energy**: -70.2 eV for the cell shown
**Formation energy (no corrections)**: -1.09 eV per atom

***

First-principles (PBE) data for crystalline SrTc2Os at its relaxed geometry, as listed in Alexandria.

Geometry as POSCAR:
```
SrTc2Os
1.0
1.434 0.828 9.874
-1.434 0.828 9.874
0.000 -1.656 9.874
Sr Tc Os
1 2 1
Direct
0.000 0.000 0.000 Sr
0.237 0.237 0.237 Tc
0.763 0.763 0.763 Tc
0.500 0.500 0.500 Os
```

**DFT formation energy**: 0.829 eV/atom
**Electronic total energy**: -30.3 eV for the cell shown
**Distance to the lowest polymorph of the same formula**: 0.218 eV/atom

***

First-principles (PBE) data for crystalline Ce3Ga7Si2 at its relaxed geometry, as listed in Alexandria.

Geometry as POSCAR:
```
Ce3Ga7Si2
1.0
-2.113 2.113 13.999
2.113 -2.113 13.999
2.113 2.113 -13.999
Ce Ga Si
3 7 2
Direct
0.000 0.000 0.000 Ce
0.161 0.161 0.000 Ce
0.839 0.839 0.000 Ce
0.079 0.579 0.500 Ga
0.268 0.268 0.000 Ga
0.421 0.921 0.500 Ga
0.500 0.500 0.000 Ga
0.579 0.079 0.500 Ga
0.732 0.732 0.000 Ga
0.921 0.421 0.500 Ga
0.357 0.357 0.000 Si
0.643 0.643 0.000 Si
```

**Electronic total energy**: -55.0 eV for the cell shown
**Formation energy (no corrections)**: -0.43 eV per atom

***

First-principles (PBE) data for crystalline Zr2TlH at its relaxed geometry, as listed in Alexandria.

Geometry as POSCAR:
```
Zr2TlH
1.0
2.821 -5.361 0.000
2.821 5.361 0.000
-2.791 0.000 4.689
Zr Tl H
4 2 2
Direct
0.033 0.286 0.088 Zr
0.286 0.033 0.588 Zr
0.714 0.967 0.412 Zr
0.967 0.714 0.912 Zr
0.383 0.617 0.750 Tl
0.617 0.383 0.250 Tl
0.253 0.747 0.250 H
0.747 0.253 0.750 H
```

**Electronic total energy**: -47.6 eV for the cell shown
**Distance to the lowest polymorph of the same formula**: 0.000 eV/atom

***

First-principles (PBE) data for crystalline Pr2Ti2Ni15 at its relaxed geometry, as listed in Alexandria.

Geometry as POSCAR:
```
Pr2Ti2Ni15
1.0
4.209 2.430 4.153
-4.209 2.430 4.153
0.000 -4.860 4.153
Pr Ti Ni
2 2 15
Direct
0.151 0.151 0.151 Pr
0.849 0.849 0.849 Pr
0.399 0.399 0.399 Ti
0.601 0.601 0.601 Ti
0.000 0.500 0.500 Ni
0.159 0.159 0.652 Ni
0.159 0.652 0.159 Ni
0.207 0.500 0.793 Ni
0.207 0.793 0.500 Ni
0.348 0.841 0.841 Ni
0.500 0.000 0.500 Ni
0.500 0.207 0.793 Ni
0.500 0.500 0.000 Ni
0.500 0.793 0.207 Ni
0.652 0.159 0.159 Ni
0.793 0.207 0.500 Ni
0.793 0.500 0.207 Ni
0.841 0.348 0.841 Ni
0.841 0.841 0.348 Ni
```

**DFT formation energy**: -0.275 eV/atom
**Electronic total energy**: -117.3 eV for the cell shown

***

First-principles (PBE) data for crystalline Fe2RhSe at its relaxed geometry, as listed in Alexandria.

Geometry as POSCAR:
```
Fe2RhSe
1.0
-1.576 2.092 4.234
1.576 -2.092 4.234
1.576 2.092 -4.234
Fe Rh Se
2 1 1
Direct
0.000 0.000 0.000 Fe
0.758 0.258 0.500 Fe
0.269 0.769 0.500 Rh
0.513 0.513 0.000 Se
```

**Electronic total energy**: -27.1 eV for the cell shown
**Formation energy (no corrections)**: 0.16 eV per atom

***

First-principles (PBE) data for crystalline NaLa2CuIr at its relaxed geometry, as listed in Alexandria.

Geometry as POSCAR:
```
NaLa2CuIr
1.0
5.528 0.000 0.000
0.000 5.528 0.000
0.000 0.000 5.026
Na La Cu Ir
1 2 1 1
Direct
0.000 0.000 0.000 Na
0.000 0.500 0.500 La
0.500 0.000 0.500 La
0.500 0.500 0.000 Cu
0.500 0.500 0.500 Ir
```

**DFT formation energy**: -0.120 eV/atom
**Electronic total energy**: -24.7 eV for the cell shown

***

First-principles (PBE) data for crystalline BaIO2F at its relaxed geometry, as listed in Alexandria.

Geometry as POSCAR:
```
BaIO2F
1.0
4.510 0.000 0.000
0.000 4.510 0.000
0.000 0.000 7.757
Ba I O F
1 1 2 1
Direct
0.000 0.000 0.000 Ba
0.000 0.000 0.500 I
0.000 0.500 0.000 O
0.500 0.000 0.000 O
0.500 0.500 0.500 F
```

**Electronic total energy**: -16.9 eV for the cell shown
**Formation energy (no corrections)**: -0.33 eV per atom

***

First-principles (PBE) data for crystalline PmYRh at its relaxed geometry, as listed in Alexandria.

Geometry as POSCAR:
```
PmYRh
1.0
-1.753 1.753 6.415
1.753 -1.753 6.415
1.753 1.753 -6.415
Pm Y Rh
1 1 1
Direct
0.000 0.000 0.000 Pm
0.260 0.260 0.000 Y
0.635 0.635 0.000 Rh
```

**DFT formation energy**: -0.488 eV/atom
**Electronic total energy**: -20.0 eV for the cell shown
**Distance to the lowest polymorph of the same formula**: 0.077 eV/atom

***

First-principles (PBE) data for crystalline Eu2GdLu at its relaxed geometry, as listed in Alexandria.

Geometry as POSCAR:
```
Eu2GdLu
1.0
0.000 4.115 4.115
4.115 0.000 4.115
4.115 4.115 0.000
Eu Gd Lu
2 1 1
Direct
0.250 0.250 0.250 Eu
0.750 0.750 0.750 Eu
0.000 0.000 0.000 Gd
0.500 0.500 0.500 Lu
```

**DFT formation energy**: 0.160 eV/atom
**Electronic total energy**: -38.5 eV for the cell shown

***

First-principles (PBE) data for crystalline Li2InNiW at its relaxed geometry, as listed in Alexandria.

Geometry as POSCAR:
```
Li2InNiW
1.0
4.292 0.000 0.000
0.000 4.292 0.000
0.000 0.000 4.648
Li In Ni W
2 1 1 1
Direct
0.000 0.500 0.000 Li
0.500 0.000 0.000 Li
0.000 0.000 0.500 In
0.500 0.500 0.000 Ni
0.500 0.500 0.500 W
```

**DFT formation energy**: 0.572 eV/atom
**Electronic total energy**: -22.4 eV for the cell shown

***

First-principles (PBE) data for crystalline Pr4CdSnO at its relaxed geometry, as listed in Alexandria.

Geometry as POSCAR:
```
Pr4CdSnO
1.0
3.445 -8.445 0.000
3.445 8.445 0.000
0.000 0.000 6.898
Pr Cd Sn O
8 2 2 2
Direct
0.000 0.500 0.000 Pr
0.000 0.500 0.500 Pr
0.076 0.924 0.750 Pr
0.421 0.579 0.750 Pr
0.500 0.000 0.000 Pr
0.500 0.000 0.500 Pr
0.579 0.421 0.250 Pr
0.924 0.076 0.250 Pr
0.115 0.885 0.250 Cd
0.885 0.115 0.750 Cd
0.389 0.611 0.250 Sn
0.611 0.389 0.750 Sn
0.250 0.750 0.750 O
0.750 0.250 0.250 O
```

**Electronic total energy**: -73.0 eV for the cell shown
**Formation energy (no corrections)**: -1.07 eV per atom

***

First-principles (PBE) data for crystalline AsPdF2 at its relaxed geometry, as listed in Alexandria.

Geometry as POSCAR:
```
AsPdF2
1.0
-1.863 1.863 7.818
1.863 -1.863 7.818
1.863 1.863 -7.818
As Pd F
2 2 4
Direct
0.000 0.000 0.000 As
0.750 0.250 0.500 As
0.250 0.750 0.500 Pd
0.500 0.500 0.000 Pd
0.109 0.625 0.984 F
0.375 0.359 0.484 F
0.641 0.125 0.016 F
0.875 0.891 0.516 F
```

**Electronic total energy**: -33.8 eV for the cell shown
**Formation energy (no corrections)**: -0.83 eV per atom
**Distance to the lowest polymorph of the same formula**: 0.000 eV/atom

***

First-principles (PBE) data for crystalline KLiSiAs2 at its relaxed geometry, as listed in Alexandria.

Geometry as POSCAR:
```
KLiSiAs2
1.0
6.717 -1.979 0.000
6.717 1.979 0.000
-5.201 0.000 9.042
K Li Si As
2 2 2 4
Direct
0.179 0.179 0.138 K
0.821 0.821 0.862 K
0.347 0.347 0.576 Li
0.653 0.653 0.424 Li
0.025 0.025 0.666 Si
0.975 0.975 0.334 Si
0.151 0.151 0.568 As
0.457 0.457 0.182 As
0.543 0.543 0.818 As
0.849 0.849 0.432 As
```

**Electronic total energy**: -39.8 eV for the cell shown
**Formation energy (no corrections)**: -0.43 eV per atom

***

First-principles (PBE) data for crystalline RbTiGaCl6 at its relaxed geometry, as listed in Alexandria.

Geometry as POSCAR:
```
RbTiGaCl6
1.0
6.315 0.000 0.000
0.296 7.040 0.000
0.193 3.446 6.144
Rb Ti Ga Cl
1 1 1 6
Direct
0.000 0.000 0.000 Rb
0.680 0.658 0.654 Ti
0.610 0.369 0.355 Ga
0.431 0.793 0.797 Cl
0.503 0.800 0.319 Cl
0.510 0.324 0.786 Cl
0.887 0.973 0.510 Cl
0.893 0.505 0.970 Cl
0.940 0.502 0.493 Cl
```

**Electronic total energy**: -36.4 eV for the cell shown
**Formation energy (no corrections)**: -1.49 eV per atom

***

First-principles (PBE) data for crystalline GaSb3Se6 at its relaxed geometry, as listed in Alexandria.

Geometry as POSCAR:
```
GaSb3Se6
1.0
5.908 -7.386 0.000
5.908 7.386 0.000
0.000 0.000 6.964
Ga Sb Se
2 6 12
Direct
0.219 0.781 0.500 Ga
0.781 0.219 0.000 Ga
0.063 0.306 0.645 Sb
0.306 0.063 0.145 Sb
0.378 0.622 0.033 Sb
0.622 0.378 0.533 Sb
0.694 0.937 0.645 Sb
0.937 0.694 0.145 Sb
0.061 0.939 0.377 Se
0.108 0.553 0.339 Se
0.220 0.780 0.849 Se
0.307 0.371 0.836 Se
0.371 0.307 0.336 Se
0.447 0.892 0.339 Se
0.553 0.108 0.839 Se
0.629 0.693 0.836 Se
0.693 0.629 0.336 Se
0.780 0.220 0.349 Se
0.892 0.447 0.839 Se
0.939 0.061 0.877 Se
```

**Electronic total energy**: -78.1 eV for the cell shown
**Formation energy (no corrections)**: -0.27 eV per atom

***

First-principles (PBE) data for crystalline BaCoOs2 at its relaxed geometry, as listed in Alexandria.

Geometry as POSCAR:
```
BaCoOs2
1.0
-2.486 2.486 8.048
2.486 -2.486 8.048
2.486 2.486 -8.048
Ba Co Os
2 2 4
Direct
0.375 0.625 0.750 Ba
0.625 0.375 0.250 Ba
0.125 0.875 0.250 Co
0.875 0.125 0.750 Co
0.000 0.000 0.000 Os
0.000 0.000 0.500 Os
0.000 0.500 0.000 Os
0.500 0.000 0.500 Os
```

**DFT formation energy**: 0.901 eV/atom
**Electronic total energy**: -55.8 eV for the cell shown
**Distance to the lowest polymorph of the same formula**: 0.590 eV/atom

***

First-principles (PBE) data for crystalline LiCd2P2 at its relaxed geometry, as listed in Alexandria.

Geometry as POSCAR:
```
LiCd2P2
1.0
-2.148 2.148 5.783
2.148 -2.148 5.783
2.148 2.148 -5.783
Li Cd P
1 2 2
Direct
0.000 0.000 0.000 Li
0.250 0.750 0.500 Cd
0.750 0.250 0.500 Cd
0.398 0.398 0.000 P
0.602 0.602 0.000 P
```

**DFT formation energy**: 0.008 eV/atom
**Electronic total energy**: -14.5 eV for the cell shown
**Distance to the lowest polymorph of the same formula**: 0.000 eV/atom

***

First-principles (PBE) data for crystalline Cu2Pd6Rh at its relaxed geometry, as listed in Alexandria.

Geometry as POSCAR:
```
Cu2Pd6Rh
1.0
-1.335 3.763 6.729
1.335 -3.763 6.729
1.335 3.763 -6.729
Cu Pd Rh
2 6 1
Direct
0.152 0.152 0.000 Cu
0.848 0.848 0.000 Cu
0.153 0.327 0.826 Pd
0.173 0.500 0.673 Pd
0.499 0.673 0.826 Pd
0.501 0.327 0.174 Pd
0.827 0.500 0.327 Pd
0.847 0.673 0.174 Pd
0.500 0.000 0.500 Rh
```

**DFT formation energy**: 0.108 eV/atom
**Electronic total energy**: -45.7 eV for the cell shown
**Distance to the lowest polymorph of the same formula**: 0.000 eV/atom

***

First-principles (PBE) data for crystalline Na2Zn3Cd12Ag at its relaxed geometry, as listed in Alexandria.

Geometry as POSCAR:
```
Na2Zn3Cd12Ag
1.0
4.991 2.881 4.821
-4.991 2.881 4.821
0.000 -5.763 4.821
Na Zn Cd Ag
2 3 12 1
Direct
0.106 0.106 0.106 Na
0.894 0.894 0.894 Na
0.000 0.500 0.500 Zn
0.500 0.000 0.500 Zn
0.500 0.500 0.000 Zn
0.125 0.125 0.534 Cd
0.125 0.534 0.125 Cd
0.217 0.701 0.701 Cd
0.299 0.299 0.783 Cd
0.299 0.783 0.299 Cd
0.466 0.875 0.875 Cd
0.534 0.125 0.125 Cd
0.701 0.217 0.701 Cd
0.701 0.701 0.217 Cd
0.783 0.299 0.299 Cd
0.875 0.466 0.875 Cd
0.875 0.875 0.466 Cd
0.500 0.500 0.500 Ag
```

**DFT formation energy**: 0.083 eV/atom
**Electronic total energy**: -18.8 eV for the cell shown

***

First-principles (PBE) data for crystalline Ce3PmGa3 at its relaxed geometry, as listed in Alexandria.

Geometry as POSCAR:
```
Ce3PmGa3
1.0
9.519 0.000 0.000
-4.759 8.244 0.000
0.000 0.000 4.269
Ce Pm Ga
6 2 6
Direct
0.040 0.791 0.250 Ce
0.209 0.249 0.250 Ce
0.249 0.040 0.750 Ce
0.751 0.960 0.250 Ce
0.791 0.751 0.750 Ce
0.960 0.209 0.750 Ce
0.333 0.667 0.750 Pm
0.667 0.333 0.250 Pm
0.060 0.468 0.250 Ga
0.408 0.940 0.250 Ga
0.468 0.408 0.750 Ga
0.532 0.592 0.250 Ga
0.592 0.060 0.750 Ga
0.940 0.532 0.750 Ga
```

**DFT formation energy**: -0.388 eV/atom
**Electronic total energy**: -68.7 eV for the cell shown

***

First-principles (PBE) data for crystalline Y2AsRu at its relaxed geometry, as listed in Alexandria.

Geometry as POSCAR:
```
Y2AsRu
1.0
2.112 1.219 6.822
-2.112 1.219 6.822
0.000 -2.438 6.822
Y As Ru
2 1 1
Direct
0.000 0.000 0.000 Y
0.171 0.171 0.171 Y
0.427 0.427 0.427 As
0.743 0.743 0.743 Ru
```

**DFT formation energy**: -0.536 eV/atom
**Electronic total energy**: -29.0 eV for the cell shown

***

First-principles (PBE) data for crystalline SrPdSeBr2 at its relaxed geometry, as listed in Alexandria.

Geometry as POSCAR:
```
SrPdSeBr2
1.0
5.115 0.000 0.000
0.000 5.115 0.000
0.000 0.000 5.222
Sr Pd Se Br
1 1 1 2
Direct
0.000 0.000 0.000 Sr
0.500 0.500 0.500 Pd
0.500 0.500 0.000 Se
0.000 0.500 0.500 Br
0.500 0.000 0.500 Br
```

**Electronic total energy**: -18.5 eV for the cell shown
**Formation energy (no corrections)**: -0.95 eV per atom
**Distance to the lowest polymorph of the same formula**: 0.000 eV/atom